1.
Density functional theory data (GGA-PBE) for a relaxed structure of ErScGa2Pt2.

Cell and atoms, written as POSCAR:
```
ErScGa2Pt2
1.0
-2.485 -2.020 3.065
1.887 -2.369 -3.237
5.293 -0.867 3.719
Ga Pt Er Sc
2 2 1 1
direct
0.333 0.667 0.279
0.667 0.333 0.721
0.667 0.333 0.273
0.333 0.667 0.727
0.000 0.000 0.000
0.000 0.000 0.500
```

Properties
Density ... 11.09 Mg/m³
Formation energy from the elements ... -1080 meV per atom

=====

2.
Density functional theory data (GGA-PBE) for a relaxed structure of Er2Sc2Ga4Pt.

Cell and atoms, written as POSCAR:
```
Er2Sc2Ga4Pt
1.0
6.440 -0.110 -0.159
-3.188 5.596 0.159
-3.188 -1.817 5.295
Pt Ga Sc Er
1 4 2 2
direct
0.000 0.000 0.000
0.000 0.720 0.280
0.000 0.280 0.720
0.561 0.280 0.280
0.439 0.720 0.720
0.000 0.721 0.721
0.000 0.279 0.279
0.500 0.750 0.250
0.500 0.250 0.750
```

Properties
Density ... 7.97 Mg/m³
Formation energy from the elements ... -518 meV per atom